Record 1
The following is a DFT calculation (GGA-PBE) of an optimized crystal structure of PmUPt2.

Cell and atoms, written as POSCAR:
```
PmUPt2
1.0
4.092 0.000 0.000
2.046 3.543 0.000
2.046 1.181 6.779
Pm Pt U
1 2 1
Direct
0.500 0.500 0.500 Pm
0.257 0.257 0.230 Pt
0.743 0.743 0.770 Pt
0.000 0.000 0.000 U
```

Results
The formation energy is -788 meV/atom. The density comes out at 13.1 g cm⁻³. As for the total energy: -7.818 eV/atom.

=====

Record 2
The following is a DFT calculation (GGA-PBE) of an optimized crystal structure of PmUPt4.

Cell and atoms, written as POSCAR:
```
PmUPt4
1.0
5.468 0.000 0.000
2.734 4.735 0.000
2.734 1.578 4.464
Pt U Pm
4 1 1
Direct
0.125 0.625 0.625 Pt
0.625 0.625 0.625 Pt
0.625 0.625 0.125 Pt
0.625 0.125 0.625 Pt
0.250 0.250 0.250 U
0.000 0.000 0.000 Pm
```

Results
The formation energy is -817 meV/atom. The density comes out at 16.7 g cm⁻³. As for the total energy: -7.518 eV/atom.

=====

Look up the density of the second one.
16.7 g cm⁻³